Entry from Alexandria via LeMat-Bulk: crystalline Rb2UBeO6 at its relaxed geometry (PBE-GGA).

Unit cell a=8.127 b=8.127 c=8.127 alpha=90.00 beta=90.00 gamma=90.00
Space group Fm-3m (No. 225)
Inequivalent atoms, fractional coordinates:
Rb  0.250  0.250  0.250 [8 per cell]
U  0.000  0.000  0.000 [4 per cell]
Be  0.000  0.000  0.500 [4 per cell]
O  0.000  0.000  0.257 [24 per cell]

Summary:
Formation energy from raw total energies: -1.946 eV per atom
ρ: 6.36 g cm⁻³